Below is a geometry-optimized CoP3H structure, with properties calculated at the PBE level.

The calculation puts the spin magnetization at 0.00 μB per atom. The value obtained for the energy above the lowest structure with this stoichiometry is 0.033 eV per atom. As for the raw total energy: -5.41 eV/atom.

It has space group Cm (No. 8), with a = 9.588 Å, b = 3.336 Å, c = 6.183 Å, α = 90.00°, β = 127.73° and γ = 90.00°. Symmetry generates all atoms from Co at (0.000, 0.000, 0.000), P at (0.067, 0.000, 0.721), P at (0.077, 0.500, 0.245), P at (0.215, 0.500, 0.698) and H at (0.423, 0.500, 0.434).